Compound: Ta2MnO6
Source: the Alexandria database
Functional: PBE with a Hubbard U
Structure: relaxed

Unit cell a=4.783 b=5.203 c=17.423 alpha=90.00 beta=90.00 gamma=90.00
Each line ends with the local moment (μB).
Sites, in units of the cell vectors:
Ta1 0.000 0.250 0.219  0.03
Ta2 0.000 0.250 0.554  0.06
Ta3 0.500 0.750 0.281  0.03
Ta4 0.500 0.750 0.946  0.06
Ta5 0.500 0.250 0.054  0.06
Ta6 0.500 0.250 0.719  0.03
Ta7 0.000 0.750 0.446  0.06
Ta8 0.000 0.750 0.781  0.03
Mn1 0.000 0.250 0.893  4.62
Mn2 0.500 0.750 0.607  4.62
Mn3 0.500 0.250 0.393  4.62
Mn4 0.000 0.750 0.107  4.62
O1 0.233 0.113 0.129  0.01
O2 0.216 0.068 0.466  0.01
O3 0.237 0.072 0.787  0.01
O4 0.263 0.072 0.287  0.01
O5 0.267 0.113 0.629  0.01
O6 0.284 0.068 0.966  0.01
O7 0.237 0.572 0.213  0.01
O8 0.216 0.568 0.534  0.01
O9 0.233 0.613 0.871  0.01
O10 0.284 0.568 0.034  0.01
O11 0.267 0.613 0.371  0.01
O12 0.263 0.572 0.713  0.01
O13 0.737 0.428 0.287  0.01
O14 0.733 0.387 0.629  0.01
O15 0.716 0.432 0.966  0.01
O16 0.767 0.387 0.129  0.01
O17 0.784 0.432 0.466  0.01
O18 0.763 0.428 0.787  0.01
O19 0.716 0.932 0.034  0.01
O20 0.733 0.887 0.371  0.01
O21 0.737 0.928 0.713  0.01
O22 0.763 0.928 0.213  0.01
O23 0.784 0.932 0.534  0.01
O24 0.767 0.887 0.871  0.01

## Properties
volume = 433.56 Å³/cell
VASP energy = -338.29 eV for the cell shown